Entry 1:
Material: Sm12Er6Sc
Method: DFT, PBE
State: relaxed

```
Sm12Er6Sc
1.0
8.4921 0.6787 0.8131
-0.6166 8.4968 0.8131
-0.6166 -0.7184 8.5053
Sm Er Sc
12 6 1
Direct
0.7818 0.5364 0.4359 Sm
0.4359 0.7818 0.5364 Sm
0.5364 0.4359 0.7818 Sm
0.2182 0.4636 0.5641 Sm
0.5641 0.2182 0.4636 Sm
0.4636 0.5641 0.2182 Sm
0.0176 0.1896 0.3603 Sm
0.8104 0.6397 0.9824 Sm
0.6397 0.9824 0.8104 Sm
0.9824 0.8104 0.6397 Sm
0.1896 0.3603 0.0176 Sm
0.3603 0.0176 0.1896 Sm
0.7410 0.9018 0.2932 Er
0.7068 0.2590 0.0982 Er
0.0982 0.7068 0.2590 Er
0.2590 0.0982 0.7068 Er
0.2932 0.7410 0.9018 Er
0.9018 0.2932 0.7410 Er
0.0000 0.0000 0.0000 Sc
```

## Properties
Fermi-level density of states (states/eV/atom): 1.761
Symmetry: R-3 (148)
Volume (Å³/cell): 626.5
DFT total energy (eV per atom): -4.61



Entry 2:
Material: Sm2ErSc7
Method: DFT, PBE
State: relaxed

```
Sm2ErSc7
1.0
3.3168 0.0000 0.0000
0.0000 13.2052 -4.5516
0.0000 -10.0196 9.7315
Sm Er Sc
2 1 7
Direct
0.5000 0.7096 0.2904 Sm
0.5000 0.2904 0.7096 Sm
0.0000 0.0000 0.0000 Er
0.0000 0.8194 0.1806 Sc
0.0000 0.1806 0.8194 Sc
0.5000 0.1483 0.3430 Sc
0.5000 0.8517 0.6570 Sc
0.5000 0.3430 0.1483 Sc
0.5000 0.6570 0.8517 Sc
0.5000 0.5000 0.5000 Sc
```

## Properties
Fermi-level density of states (states/eV/atom): 1.587
Symmetry: Cmmm (65)
Volume (Å³/cell): 275.0
DFT total energy (eV per atom): -5.68